The following is a DFT calculation (PBE) of ZrZnCoSn after structural relaxation.

Summary:
**Polymorph energy (0 for the lowest one)**: 173.0 meV per atom
**SG**: F-43m (216)

```
data_ZrZnCoSn
_cell_length_a 4.6025
_cell_length_b 4.6025
_cell_length_c 4.6025
_cell_angle_alpha 60.00
_cell_angle_beta 60.00
_cell_angle_gamma 60.00
_symmetry_space_group_name_H-M 'P 1'
_symmetry_Int_Tables_number 1
loop_
_symmetry_equiv_pos_as_xyz
'x,y,z'
loop_
_atom_site_label
_atom_site_type_symbol
_atom_site_fract_x
_atom_site_fract_y
_atom_site_fract_z
Zn1 Zn 0.5000 0.5000 0.5000
Sn1 Sn 0.0000 0.0000 0.0000
Zr1 Zr 0.2500 0.2500 0.2500
Co1 Co 0.7500 0.7500 0.7500
```